First-principles (PBE-GGA) data for PaSO after structural relaxation, as listed in the Alexandria database.

SG ... No. 216
Theoretical density ... 8.32 Mg/m³
Raw formation energy ... -2125.7 meV/atom
Volume ... 18.6 Å³ per atom

Cell: 4.2875 4.2875 4.2875 Å, 60.00 60.00 60.00°
Last column: magnetic moment on the atom in μB.
Fractional coordinates of all 3 atoms:
O1 0.5000 0.5000 0.5000  -0.03
Pa1 0.2500 0.2500 0.2500  0.96
S1 0.0000 0.0000 0.0000  -0.03


First-principles (PBE-GGA) data for PaSO6 after structural relaxation, as listed in the Alexandria database.

SG ... No. 12
Theoretical density ... 6.16 Mg/m³
Raw formation energy ... -1623.0 meV/atom
Volume ... 12.1 Å³ per atom

Cell: 4.8545 4.8545 4.7080 Å, 96.16 96.16 116.91°
Last column: magnetic moment on the atom in μB.
Fractional coordinates of all 8 atoms:
O1 0.1894 0.4688 0.2840  0.12
O2 0.7352 0.7352 0.3012  0.17
O3 0.5312 0.8106 0.7160  0.12
O4 0.8106 0.5312 0.7160  0.12
O5 0.2648 0.2648 0.6988  0.17
O6 0.4688 0.1894 0.2840  0.12
Pa1 0.0000 0.0000 0.0000  -0.05
S1 0.5000 0.5000 0.5000  -0.01


First-principles (PBE-GGA) data for PaS2O after structural relaxation, as listed in the Alexandria database.

SG ... No. 122
Theoretical density ... 5.58 Mg/m³
Raw formation energy ... -1648.8 meV/atom
Volume ... 23.1 Å³ per atom

Cell: 4.1786 6.9747 6.9747 Å, 84.85 72.57 72.57°
Last column: magnetic moment on the atom in μB.
Fractional coordinates of all 8 atoms:
O1 0.0000 0.0000 0.0000  0.04
O2 0.7500 0.5000 0.5000  0.04
S1 0.8750 0.6164 0.8836  0.25
S2 0.2414 0.8836 0.3836  0.25
S3 0.5086 0.1164 0.6164  0.25
S4 0.3750 0.3836 0.1164  0.25
Pa1 0.5000 0.0000 0.0000  0.06
Pa2 0.2500 0.5000 0.5000  0.06


Question: Which of these has the highest theoretical density?
Answer: PaSO